Density functional theory data (PBE) for a relaxed KAlCu2 crystal.

abc: 2.8474 3.5534 7.7150
angles: 90.00 90.00 90.00
Fractional coordinates of all 4 atoms:
1 Al 0.5000 0.5000 0.7500
2 Cu 0.0000 0.0000 0.9138
3 Cu 0.0000 0.0000 0.5862
4 K 0.5000 0.5000 0.2500

SG: Pmmm
E_form in kcal/mol of atoms: 4.363